Record 1
## CoS2N (PBE)

Data for a geometry-optimized CoS2N structure.

Lattice parameters (Å, degrees): 4.000 4.000 4.000 60.00 60.00 60.00
Each line ends with the local moment (μB).
Fractional positions:
S: 0.250 0.250 0.250  -0.01
S: 0.750 0.750 0.750  -0.01
Co: 0.500 0.500 0.500  0.09
N: 0.000 0.000 0.000  0.27

Magnetization   0.45 μB per cell
Excess energy over the best structure of this formula in the dataset   1166 meV/atom
Final energy   -18.13 eV/cell
Raw formation energy   1.39 eV/atom


Record 2
## Co2S2N (PBE)

Data for a geometry-optimized Co2S2N structure.

Lattice parameters (Å, degrees): 3.622 3.622 6.744 74.42 74.42 90.00
Each line ends with the local moment (μB).
Fractional positions:
S: 0.347 0.347 0.305  0.00
S: 0.653 0.653 0.695  0.00
Co: 0.750 0.250 0.500  -0.42
Co: 0.250 0.750 0.500  -0.42
N: 0.000 0.000 0.000  1.79

Magnetization   1.80 μB per cell
Excess energy over the best structure of this formula in the dataset   604 meV/atom
Final energy   -27.37 eV/cell
Raw formation energy   0.68 eV/atom


Record 3
## Co2S2N (PBE)

Data for a geometry-optimized Co2S2N structure.

Lattice parameters (Å, degrees): 5.088 5.088 4.645 90.00 90.00 90.00
Each line ends with the local moment (μB).
Fractional positions:
S: 0.145 0.645 0.500  0.00
S: 0.645 0.855 0.500  0.01
S: 0.855 0.355 0.500  0.00
S: 0.355 0.145 0.500  0.01
Co: 0.185 0.685 0.000  0.18
Co: 0.685 0.815 0.000  0.20
Co: 0.815 0.315 0.000  0.18
Co: 0.315 0.185 0.000  0.20
N: 0.000 0.000 0.000  0.01
N: 0.500 0.500 0.000  0.01

Magnetization   0.81 μB per cell
Excess energy over the best structure of this formula in the dataset   150 meV/atom
Final energy   -59.30 eV/cell
Raw formation energy   0.23 eV/atom


Record 4
## Co2S2N (PBE)

Data for a geometry-optimized Co2S2N structure.

Lattice parameters (Å, degrees): 4.241 4.241 5.892 68.90 68.90 90.00
Fractional positions:
S: 0.750 0.250 0.500
S: 0.250 0.750 0.500
Co: 0.161 0.161 0.678
Co: 0.839 0.839 0.322
N: 0.000 0.000 0.000

Magnetization   0.00 μB per cell
Excess energy over the best structure of this formula in the dataset   0 meV/atom
Final energy   -30.40 eV/cell
Raw formation energy   0.08 eV/atom


Record 5
## Co2S2N (PBE)

Data for a geometry-optimized Co2S2N structure.

Lattice parameters (Å, degrees): 6.297 6.297 3.026 90.00 90.00 90.00
Each line ends with the local moment (μB).
Fractional positions:
S: 0.331 0.831 0.000  0.04
S: 0.831 0.669 0.000  0.03
S: 0.669 0.169 0.000  0.04
S: 0.169 0.331 0.000  0.03
Co: 0.142 0.642 0.500  1.09
Co: 0.642 0.858 0.500  1.14
Co: 0.858 0.358 0.500  1.09
Co: 0.358 0.142 0.500  1.14
N: 0.000 0.000 0.000  0.44
N: 0.500 0.500 0.000  0.44

Magnetization   5.82 μB per cell
Excess energy over the best structure of this formula in the dataset   958 meV/atom
Final energy   -51.21 eV/cell
Raw formation energy   1.04 eV/atom


Record 6
## Co2SN (PBE)

Data for a geometry-optimized Co2SN structure.

Lattice parameters (Å, degrees): 3.817 3.817 3.817 60.00 60.00 60.00
Each line ends with the local moment (μB).
Fractional positions:
S: 0.500 0.500 0.500  0.00
Co: 0.250 0.250 0.250  0.99
Co: 0.750 0.750 0.750  0.99
N: 0.000 0.000 0.000  0.07

Magnetization   2.02 μB per cell
Excess energy over the best structure of this formula in the dataset   748 meV/atom
Final energy   -24.13 eV/cell
Raw formation energy   0.63 eV/atom


Record 7
## CoS2N (PBE)

Data for a geometry-optimized CoS2N structure.

Lattice parameters (Å, degrees): 5.673 5.673 5.673 35.36 35.36 35.36
Fractional positions:
S: 0.902 0.902 0.902
S: 0.098 0.098 0.098
Co: 0.500 0.500 0.500
N: 0.000 0.000 0.000

Magnetization   0.00 μB per cell
Excess energy over the best structure of this formula in the dataset   0 meV/atom
Final energy   -22.79 eV/cell
Raw formation energy   0.22 eV/atom


Record 8
## ScCoS2N (PBE)

Data for a geometry-optimized ScCoS2N structure.

Lattice parameters (Å, degrees): 4.630 4.630 3.438 90.00 90.00 90.00
Fractional positions:
Sc: 0.500 0.500 0.500
S: 0.000 0.500 0.000
S: 0.500 0.000 0.000
Co: 0.000 0.000 0.000
N: 0.000 0.000 0.500

Magnetization   0.00 μB per cell
Excess energy over the best structure of this formula in the dataset   0 meV/atom
Final energy   -31.85 eV/cell
Raw formation energy   -0.37 eV/atom


Record 9
## ScCoS2N (PBE)

Data for a geometry-optimized ScCoS2N structure.

Lattice parameters (Å, degrees): 4.939 4.939 4.009 90.00 90.00 90.00
Each line ends with the local moment (μB).
Fractional positions:
Sc: 0.000 0.000 0.000  -0.01
S: 0.000 0.500 0.000  0.08
S: 0.500 0.000 0.000  0.08
Co: 0.500 0.500 0.500  2.35
N: 0.000 0.000 0.500  0.03

Magnetization   2.69 μB per cell
Excess energy over the best structure of this formula in the dataset   929 meV/atom
Final energy   -27.20 eV/cell
Raw formation energy   0.56 eV/atom


Record 10
## CoSeS2N (PBE)

Data for a geometry-optimized CoSeS2N structure.

Lattice parameters (Å, degrees): 4.869 4.869 3.609 90.00 90.00 90.00
Each line ends with the local moment (μB).
Fractional positions:
S: 0.000 0.500 0.000  0.08
S: 0.500 0.000 0.000  0.08
Co: 0.500 0.500 0.500  2.36
Se: 0.000 0.000 0.000  -0.02
N: 0.000 0.000 0.500  -0.25

Magnetization   2.27 μB per cell
Excess energy over the best structure of this formula in the dataset   760 meV/atom
Final energy   -20.25 eV/cell
Raw formation energy   1.38 eV/atom


Record 11
## CoSe2SN (PBE)

Data for a geometry-optimized CoSe2SN structure.

Lattice parameters (Å, degrees): 5.032 5.032 3.253 90.00 90.00 90.00
Each line ends with the local moment (μB).
Fractional positions:
S: 0.000 0.000 0.000  -0.01
Co: 0.500 0.500 0.500  2.12
Se: 0.000 0.500 0.000  0.04
Se: 0.500 0.000 0.000  0.04
N: 0.000 0.000 0.500  0.01

Magnetization   2.24 μB per cell
Excess energy over the best structure of this formula in the dataset   515 meV/atom
Final energy   -20.85 eV/cell
Raw formation energy   1.14 eV/atom


Record 12
## CoSeS2N (PBE)

Data for a geometry-optimized CoSeS2N structure.

Lattice parameters (Å, degrees): 4.682 4.682 3.406 90.00 90.00 90.00
Fractional positions:
S: 0.000 0.500 0.000
S: 0.500 0.000 0.000
Co: 0.000 0.000 0.000
Se: 0.500 0.500 0.500
N: 0.000 0.000 0.500

Magnetization   0.00 μB per cell
Excess energy over the best structure of this formula in the dataset   0 meV/atom
Final energy   -24.05 eV/cell
Raw formation energy   0.62 eV/atom


Record 13
## CoSe2SN (PBE)

Data for a geometry-optimized CoSe2SN structure.

Lattice parameters (Å, degrees): 4.896 4.896 3.375 90.00 90.00 90.00
Fractional positions:
S: 0.500 0.500 0.500
Co: 0.000 0.000 0.000
Se: 0.000 0.500 0.000
Se: 0.500 0.000 0.000
N: 0.000 0.000 0.500

Magnetization   0.00 μB per cell
Excess energy over the best structure of this formula in the dataset   0 meV/atom
Final energy   -23.42 eV/cell
Raw formation energy   0.62 eV/atom


Record 14
## CoSeSN2 (PBE)

Data for a geometry-optimized CoSeSN2 structure.

Lattice parameters (Å, degrees): 3.493 3.493 7.758 90.00 90.00 90.00
Each line ends with the local moment (μB).
Fractional positions:
S: 0.500 0.500 0.500  0.01
Co: 0.000 0.000 0.000  0.14
Se: 0.000 0.000 0.500  0.01
N: 0.000 0.500 0.000  0.03
N: 0.500 0.000 0.000  0.03

Magnetization   0.25 μB per cell
Excess energy over the best structure of this formula in the dataset   0 meV/atom
Final energy   -26.14 eV/cell
Raw formation energy   1.05 eV/atom


Record 15
## CoSeSN2 (PBE)

Data for a geometry-optimized CoSeSN2 structure.

Lattice parameters (Å, degrees): 3.379 3.379 7.302 90.00 90.00 90.00
Each line ends with the local moment (μB).
Fractional positions:
S: 0.000 0.000 0.000  -0.01
Co: 0.500 0.500 0.500  1.72
Se: 0.000 0.000 0.500  0.13
N: 0.000 0.500 0.000  0.03
N: 0.500 0.000 0.000  0.03

Magnetization   2.07 μB per cell
Excess energy over the best structure of this formula in the dataset   398 meV/atom
Final energy   -24.15 eV/cell
Raw formation energy   1.44 eV/atom


Record 16
## CoSeSN2 (PBE)

Data for a geometry-optimized CoSeSN2 structure.

Lattice parameters (Å, degrees): 3.585 3.585 6.434 90.00 90.00 90.00
Each line ends with the local moment (μB).
Fractional positions:
S: 0.000 0.000 0.500  0.09
Co: 0.500 0.500 0.500  2.10
Se: 0.000 0.000 0.000  -0.02
N: 0.000 0.500 0.000  0.02
N: 0.500 0.000 0.000  0.02

Magnetization   2.34 μB per cell
Excess energy over the best structure of this formula in the dataset   649 meV/atom
Final energy   -22.89 eV/cell
Raw formation energy   1.70 eV/atom


Record 17
## CoSiSN2 (PBE)

Data for a geometry-optimized CoSiSN2 structure.

Lattice parameters (Å, degrees): 3.369 3.369 6.267 90.00 90.00 90.00
Each line ends with the local moment (μB).
Fractional positions:
S: 0.000 0.000 0.500  0.14
Co: 0.500 0.500 0.500  2.04
Si: 0.000 0.000 0.000  0.00
N: 0.000 0.500 0.000  0.04
N: 0.500 0.000 0.000  0.04

Magnetization   2.44 μB per cell
Excess energy over the best structure of this formula in the dataset   0 meV/atom
Final energy   -30.40 eV/cell
Raw formation energy   0.58 eV/atom


Record 18
## CoSiS2N (PBE)

Data for a geometry-optimized CoSiS2N structure.

Lattice parameters (Å, degrees): 4.768 4.768 3.259 90.00 90.00 90.00
Each line ends with the local moment (μB).
Fractional positions:
S: 0.000 0.500 0.000  0.11
S: 0.500 0.000 0.000  0.11
Co: 0.500 0.500 0.500  2.33
Si: 0.000 0.000 0.000  0.00
N: 0.000 0.000 0.500  0.05

Magnetization   2.76 μB per cell
Excess energy over the best structure of this formula in the dataset   15 meV/atom
Final energy   -26.35 eV/cell
Raw formation energy   0.55 eV/atom


Record 19
## CoSiSN2 (PBE)

Data for a geometry-optimized CoSiSN2 structure.

Lattice parameters (Å, degrees): 3.592 3.592 4.877 90.00 90.00 90.00
Fractional positions:
S: 0.000 0.000 0.500
Co: 0.000 0.000 0.000
Si: 0.500 0.500 0.500
N: 0.000 0.500 0.000
N: 0.500 0.000 0.000

Magnetization   0.00 μB per cell
Excess energy over the best structure of this formula in the dataset   478 meV/atom
Final energy   -28.01 eV/cell
Raw formation energy   1.06 eV/atom


Record 20
## CoSiS2N (PBE)

Data for a geometry-optimized CoSiS2N structure.

Lattice parameters (Å, degrees): 4.661 4.661 3.382 90.00 90.00 90.00
Fractional positions:
S: 0.000 0.500 0.000
S: 0.500 0.000 0.000
Co: 0.000 0.000 0.000
Si: 0.500 0.500 0.500
N: 0.000 0.000 0.500

Magnetization   0.00 μB per cell
Excess energy over the best structure of this formula in the dataset   0 meV/atom
Final energy   -26.42 eV/cell
Raw formation energy   0.54 eV/atom


Record 21
## CoSnS2N (PBE)

Data for a geometry-optimized CoSnS2N structure.

Lattice parameters (Å, degrees): 5.062 5.062 3.998 90.00 90.00 90.00
Each line ends with the local moment (μB).
Fractional positions:
S: 0.000 0.500 0.000  0.22
S: 0.500 0.000 0.000  0.22
Co: 0.500 0.500 0.500  2.37
Sn: 0.000 0.000 0.000  -0.04
N: 0.000 0.000 0.500  0.76

Magnetization   4.12 μB per cell
Excess energy over the best structure of this formula in the dataset   975 meV/atom
Final energy   -21.72 eV/cell
Raw formation energy   1.19 eV/atom


Record 22
## CoSnSN2 (PBE)

Data for a geometry-optimized CoSnSN2 structure.

Lattice parameters (Å, degrees): 4.053 4.053 5.317 90.00 90.00 90.00
Each line ends with the local moment (μB).
Fractional positions:
S: 0.000 0.000 0.500  0.18
Co: 0.500 0.500 0.500  2.34
Sn: 0.000 0.000 0.000  -0.04
N: 0.000 0.500 0.000  0.84
N: 0.500 0.000 0.000  0.84

Magnetization   5.00 μB per cell
Excess energy over the best structure of this formula in the dataset   694 meV/atom
Final energy   -24.07 eV/cell
Raw formation energy   1.56 eV/atom


Record 23
## CoSnSN2 (PBE)

Data for a geometry-optimized CoSnSN2 structure.

Lattice parameters (Å, degrees): 3.801 3.801 4.796 90.00 90.00 90.00
Each line ends with the local moment (μB).
Fractional positions:
S: 0.000 0.000 0.500  0.04
Co: 0.000 0.000 0.000  1.08
Sn: 0.500 0.500 0.500  0.02
N: 0.000 0.500 0.000  0.67
N: 0.500 0.000 0.000  0.67

Magnetization   3.05 μB per cell
Excess energy over the best structure of this formula in the dataset   0 meV/atom
Final energy   -27.54 eV/cell
Raw formation energy   0.87 eV/atom


Record 24
## CoSnS2N (PBE)

Data for a geometry-optimized CoSnS2N structure.

Lattice parameters (Å, degrees): 4.810 4.810 3.454 90.00 90.00 90.00
Fractional positions:
S: 0.000 0.500 0.000
S: 0.500 0.000 0.000
Co: 0.000 0.000 0.000
Sn: 0.500 0.500 0.500
N: 0.000 0.000 0.500

Magnetization   0.00 μB per cell
Excess energy over the best structure of this formula in the dataset   0 meV/atom
Final energy   -26.60 eV/cell
Raw formation energy   0.22 eV/atom


Record 25
## SrCoS2N (PBE)

Data for a geometry-optimized SrCoS2N structure.

Lattice parameters (Å, degrees): 4.919 4.919 3.499 90.00 90.00 90.00
Fractional positions:
Sr: 0.500 0.500 0.500
S: 0.000 0.500 0.000
S: 0.500 0.000 0.000
Co: 0.000 0.000 0.000
N: 0.000 0.000 0.500

Magnetization   0.00 μB per cell
Excess energy over the best structure of this formula in the dataset   0 meV/atom
Final energy   -27.62 eV/cell
Raw formation energy   -0.45 eV/atom


Record 26
## SrCoSN2 (PBE)

Data for a geometry-optimized SrCoSN2 structure.

Lattice parameters (Å, degrees): 3.928 3.928 4.852 90.00 90.00 90.00
Each line ends with the local moment (μB).
Fractional positions:
Sr: 0.500 0.500 0.500  0.01
S: 0.000 0.000 0.500  0.05
Co: 0.000 0.000 0.000  1.34
N: 0.000 0.500 0.000  0.83
N: 0.500 0.000 0.000  0.83

Magnetization   3.86 μB per cell
Excess energy over the best structure of this formula in the dataset   0 meV/atom
Final energy   -28.52 eV/cell
Raw formation energy   0.21 eV/atom


Record 27
## SrCoSN2 (PBE)

Data for a geometry-optimized SrCoSN2 structure.

Lattice parameters (Å, degrees): 4.719 4.719 5.881 90.00 90.00 90.00
Each line ends with the local moment (μB).
Fractional positions:
Sr: 0.000 0.000 0.000  0.07
S: 0.000 0.000 0.500  0.21
Co: 0.500 0.500 0.500  2.31
N: 0.000 0.500 0.000  1.40
N: 0.500 0.000 0.000  1.40

Magnetization   7.01 μB per cell
Excess energy over the best structure of this formula in the dataset   1733 meV/atom
Final energy   -19.85 eV/cell
Raw formation energy   1.94 eV/atom


Record 28
## SrCoS2N (PBE)

Data for a geometry-optimized SrCoS2N structure.

Lattice parameters (Å, degrees): 5.561 5.561 4.754 90.00 90.00 90.00
Each line ends with the local moment (μB).
Fractional positions:
Sr: 0.000 0.000 0.000  0.04
S: 0.000 0.500 0.000  0.40
S: 0.500 0.000 0.000  0.40
Co: 0.500 0.500 0.500  2.34
N: 0.000 0.000 0.500  1.48

Magnetization   5.97 μB per cell
Excess energy over the best structure of this formula in the dataset   1828 meV/atom
Final energy   -18.48 eV/cell
Raw formation energy   1.38 eV/atom


Record 29
## TaCoS2N (PBE)

Data for a geometry-optimized TaCoS2N structure.

Lattice parameters (Å, degrees): 4.899 3.861 4.899 90.00 90.00 90.00
Each line ends with the local moment (μB).
Fractional positions:
S: 0.000 0.000 0.500  0.11
S: 0.500 0.000 0.000  0.12
N: 0.000 0.500 0.000  0.23
Co: 0.500 0.500 0.500  2.30
Ta: 0.000 0.000 0.000  -0.01

Magnetization   2.97 μB per cell
Excess energy over the best structure of this formula in the dataset   0 meV/atom
Final energy   -33.92 eV/cell
Raw formation energy   0.32 eV/atom